Computed, not measured: an optimized crystal structure of TbU2CrC4 at the PBE level of DFT.

Results
- DFT formation energy: -0.0699 eV per atom

abc: 3.559 5.851 11.653
angles: 90.00 90.00 107.71
Atoms (fractional coordinates):
Tb 0.115 0.231 0.750
Tb 0.885 0.769 0.250
U 0.371 0.741 0.548
U 0.629 0.259 0.048
U 0.629 0.259 0.452
U 0.371 0.741 0.952
Cr 0.849 0.699 0.750
Cr 0.151 0.301 0.250
C 0.259 0.518 0.124
C 0.741 0.482 0.624
C 0.741 0.482 0.876
C 0.259 0.518 0.376
C 0.000 0.000 0.500
C 0.000 0.000 0.000
C 0.425 0.850 0.750
C 0.575 0.150 0.250